(1)
A relaxed structure of MnIrBr. Source: Alexandria, functional PBE-GGA.

Results
- ΔE_f (raw): 0.45 eV/atom
- Spin magnetization: 4.13 μB/f.u.

Unit cell a=7.0275 b=6.7406 c=3.0621 alpha=82.45 beta=71.96 gamma=25.59
With the nearest neighbours (Å) after each atom.
Fractional coordinates of all 3 atoms:
Mn1 0.0000 0.0000 0.0000  2 Ir 2.42, 2 Br 2.53
Ir1 0.6357 0.6357 0.3643  2 Mn 2.42
Br1 0.3532 0.3532 0.6468  2 Mn 2.53


(2)
A relaxed structure of MnIr2Br. Source: Alexandria, functional PBE-GGA.

Results
- ΔE_f (raw): 0.51 eV/atom
- Spin magnetization: 3.93 μB/f.u.

Unit cell a=2.8895 b=2.8895 c=8.8295 alpha=90.00 beta=90.00 gamma=90.00
With the nearest neighbours (Å) after each atom.
Fractional coordinates of all 4 atoms:
Mn1 0.0000 0.0000 0.0000  4 Br 2.74, 4 Ir 2.75, 4 Mn 2.89
Ir1 0.0000 0.0000 0.5979  8 Ir 2.66-2.89
Ir2 0.5000 0.5000 0.7909  8 Ir 2.66-2.89, 4 Mn 2.75
Br1 0.5000 0.5000 0.2060  4 Mn 2.74, 4 Br 2.89


(3)
A relaxed structure of MnIr2Br. Source: Alexandria, functional PBE-GGA.

Results
- ΔE_f (raw): 0.51 eV/atom
- Spin magnetization: 3.63 μB/f.u.

Unit cell a=2.7499 b=2.7499 c=10.9158 alpha=90.00 beta=90.00 gamma=117.06
With the nearest neighbours (Å) after each atom.
Fractional coordinates of all 4 atoms:
Mn1 0.0000 0.0000 0.0000  4 Ir 2.48, 4 Mn 2.75
Ir1 0.5000 0.5000 0.1854  2 Mn 2.48, 4 Ir 2.75
Ir2 0.5000 0.5000 0.8146  2 Mn 2.48, 4 Ir 2.75
Br1 0.0000 0.0000 0.5000  6 Br 2.75-2.87


(4)
A relaxed structure of Mn2IrBr. Source: Alexandria, functional PBE-GGA.

Results
- ΔE_f (raw): 0.27 eV/atom
- Spin magnetization: 8.51 μB/f.u.

Unit cell a=3.6217 b=3.1958 c=7.1784 alpha=90.00 beta=90.33 gamma=90.00
With the nearest neighbours (Å) after each atom.
Fractional coordinates of all 4 atoms:
Mn1 0.0000 0.0000 0.0000  2 Ir 2.53-2.57, 2 Br 2.58
Mn2 0.0008 0.5000 0.6302  4 Ir 2.56-2.57, 1 Br 2.65
Ir1 0.5042 0.0000 0.7500  6 Mn 2.53-2.57
Br1 0.1582 0.5000 0.2707  3 Mn 2.58-2.65


(5)
A relaxed structure of Mn2IrBr. Source: Alexandria, functional PBE-GGA.

Results
- ΔE_f (raw): 0.65 eV/atom
- Spin magnetization: 8.19 μB/f.u.

Unit cell a=5.1088 b=5.1088 c=5.1088 alpha=143.25 beta=122.65 gamma=70.08
With the nearest neighbours (Å) after each atom.
Fractional coordinates of all 4 atoms:
Mn1 0.2493 0.2493 0.0000  2 Br 2.63, 2 Ir 2.64, 4 Mn 2.93
Mn2 0.7507 0.7507 0.0000  2 Br 2.63, 2 Ir 2.64, 4 Mn 2.93
Ir1 0.5000 0.0000 0.5000  4 Mn 2.64, 4 Br 2.93
Br1 0.0000 0.5000 0.5000  4 Mn 2.63, 4 Ir 2.93


(6)
A relaxed structure of MnIr2Br. Source: Alexandria, functional PBE-GGA.

Results
- ΔE_f (raw): 0.63 eV/atom
- Spin magnetization: 3.45 μB/f.u.

Unit cell a=2.8477 b=2.8477 c=9.7587 alpha=90.00 beta=90.00 gamma=119.48
With the nearest neighbours (Å) after each atom.
Fractional coordinates of all 4 atoms:
Mn1 0.0000 0.0000 0.0000  2 Ir 2.52, 2 Br 2.56
Ir1 0.0000 0.0000 0.4446  8 Ir 2.68-2.87
Ir2 0.5000 0.5000 0.2127  2 Mn 2.52, 2 Ir 2.68
Br1 0.5000 0.5000 0.7832  2 Mn 2.56, 4 Br 2.85


(7)
A relaxed structure of Mn2IrBr. Source: Alexandria, functional PBE-GGA.

Results
- ΔE_f (raw): 0.17 eV/atom
- Spin magnetization: 9.44 μB/f.u.

Unit cell a=3.1652 b=3.1652 c=7.2293 alpha=90.00 beta=90.00 gamma=90.00
With the nearest neighbours (Å) after each atom.
Fractional coordinates of all 4 atoms:
Mn1 0.0000 0.0000 0.2082  4 Ir 2.70, 1 Mn 3.01
Mn2 0.0000 0.0000 0.7918  4 Ir 2.70, 1 Mn 3.01
Ir1 0.5000 0.5000 0.0000  8 Mn 2.70
Br1 0.5000 0.5000 0.5000  8 Mn 3.08, 4 Br 3.17


(8)
A relaxed structure of Mn4IrBr. Source: Alexandria, functional PBE-GGA.

Results
- ΔE_f (raw): 0.77 eV/atom
- Spin magnetization: 9.00 μB/f.u.

Unit cell a=4.9062 b=4.9062 c=4.9062 alpha=60.00 beta=60.00 gamma=60.00
With the nearest neighbours (Å) after each atom.
Fractional coordinates of all 6 atoms:
Mn1 0.3758 0.3758 0.3758  6 Mn 2.44-2.47
Mn2 0.3758 0.3758 0.8725  6 Mn 2.44-2.47
Mn3 0.3758 0.8725 0.3758  6 Mn 2.44-2.47
Mn4 0.8725 0.3758 0.3758  6 Mn 2.44-2.47
Ir1 0.7500 0.7500 0.7500  12 Mn 2.87, 4 Br 3.00
Br1 0.0000 0.0000 0.0000  12 Mn 2.88, 4 Ir 3.00


(9)
A relaxed structure of MnIr2Br. Source: Alexandria, functional PBE-GGA.

Results
- ΔE_f (raw): 0.38 eV/atom
- Spin magnetization: 3.88 μB/f.u.

Unit cell a=4.6053 b=4.6053 c=6.7907 alpha=92.84 beta=92.84 gamma=37.00
With the nearest neighbours (Å) after each atom.
Fractional coordinates of all 4 atoms:
Mn1 0.0000 0.0000 0.0000  2 Br 2.50, 4 Ir 2.58-2.71
Ir1 0.4484 0.4484 0.3019  3 Ir 2.46-2.56, 2 Mn 2.58, 1 Br 2.71
Ir2 0.7160 0.7160 0.2040  3 Ir 2.46-2.56, 2 Mn 2.71
Br1 0.4753 0.4753 0.7012  2 Mn 2.50, 1 Ir 2.71


(10)
A relaxed structure of MnIr3Br. Source: Alexandria, functional PBE-GGA.

Results
- ΔE_f (raw): 1.78 eV/atom
- Spin magnetization: 4.73 μB/f.u.

Unit cell a=4.6083 b=4.6083 c=4.6083 alpha=90.00 beta=90.00 gamma=90.00
With the nearest neighbours (Å) after each atom.
Fractional coordinates of all 5 atoms:
Mn1 0.0000 0.0000 0.0000  12 Ir 3.26
Ir1 0.0000 0.5000 0.5000  2 Br 2.30
Ir2 0.5000 0.0000 0.5000  2 Br 2.30
Ir3 0.5000 0.5000 0.0000  2 Br 2.30
Br1 0.5000 0.5000 0.5000  6 Ir 2.30


(11)
A relaxed structure of Mn2IrBr. Source: Alexandria, functional PBE-GGA.

Results
- ΔE_f (raw): 0.56 eV/atom
- Spin magnetization: 7.81 μB/f.u.

Unit cell a=2.9146 b=2.9146 c=9.2525 alpha=90.00 beta=90.00 gamma=115.91
With the nearest neighbours (Å) after each atom.
Fractional coordinates of all 4 atoms:
Mn1 0.0000 0.0000 0.0000  2 Ir 2.45, 2 Mn 2.65
Mn2 0.5000 0.5000 0.2331  2 Br 2.52, 2 Mn 2.65
Ir1 0.5000 0.5000 0.7952  2 Mn 2.45
Br1 0.0000 0.0000 0.4488  2 Mn 2.52


(12)
A relaxed structure of Mn2IrBr. Source: Alexandria, functional PBE-GGA.

Results
- ΔE_f (raw): 0.25 eV/atom
- Spin magnetization: 8.94 μB/f.u.

Unit cell a=8.1043 b=8.1043 c=8.1043 alpha=22.82 beta=22.82 gamma=22.82
With the nearest neighbours (Å) after each atom.
Fractional coordinates of all 4 atoms:
Mn1 0.2454 0.2454 0.2454  3 Ir 2.63, 3 Br 2.79
Mn2 0.7546 0.7546 0.7546  3 Ir 2.63, 3 Br 2.79
Ir1 0.5000 0.5000 0.5000  6 Mn 2.63
Br1 0.0000 0.0000 0.0000  6 Mn 2.79


(13)
A relaxed structure of Mn2IrBr. Source: Alexandria, functional PBE-GGA.

Results
- ΔE_f (raw): 0.10 eV/atom
- Spin magnetization: 8.82 μB/f.u.

Unit cell a=3.1294 b=3.1715 c=7.3645 alpha=90.00 beta=90.00 gamma=90.00
With the nearest neighbours (Å) after each atom.
Fractional coordinates of all 4 atoms:
Mn1 0.0000 0.0000 0.2029  4 Ir 2.68, 2 Br 2.69, 1 Mn 2.99
Mn2 0.0000 0.0000 0.7971  4 Ir 2.68, 2 Br 2.69, 1 Mn 2.99
Ir1 0.5000 0.5000 0.0000  8 Mn 2.68
Br1 0.5000 0.0000 0.5000  4 Mn 2.69